The following is a DFT calculation (PBE-GGA) of crystalline La2Pm2HoHg5 at its relaxed geometry.

Computed properties:
* ρ: 9717 kg/m³
* formation energy: -3.38 eV/f.u.
* symmetry: No. 127

Geometry as POSCAR:
```
La2Pm2HoHg5
1.0
-2.034 2.181 -2.632
-3.589 -10.200 -5.678
-9.863 -0.528 7.184
Pm Hg La Ho
4 10 4 2
Direct
0.000 0.140 0.640
0.000 0.360 0.140
0.000 0.860 0.360
0.000 0.640 0.860
0.500 0.158 0.111
0.500 0.342 0.611
0.500 0.000 0.500
0.500 0.611 0.658
0.500 0.658 0.389
0.500 0.111 0.842
0.500 0.842 0.889
0.500 0.389 0.342
0.500 0.500 0.000
0.500 0.889 0.158
0.000 0.664 0.164
0.000 0.336 0.836
0.000 0.836 0.664
0.000 0.164 0.336
0.000 0.500 0.500
0.000 0.000 0.000
```